[1]
{
  "formula": "Ba3TmTl12",
  "functional": "PBE",
  "state": "relaxed",
  "lattice_angstrom": [[5.0571, 0.0000, 0.0000], [0.0000, 5.0571, 0.0000], [0.0000, 0.0000, 20.2220]],
  "species": ["Ba", "Ba", "Ba", "Tm", "Tl", "Tl", "Tl", "Tl", "Tl", "Tl", "Tl", "Tl", "Tl", "Tl", "Tl", "Tl"],
  "fractional_positions": [[0.0000, 0.0000, 0.0000], [0.0000, 0.0000, 0.2653], [0.0000, 0.0000, 0.7347], [0.0000, 0.0000, 0.5000], [0.0000, 0.5000, 0.1292], [0.0000, 0.5000, 0.3918], [0.0000, 0.5000, 0.6082], [0.0000, 0.5000, 0.8708], [0.5000, 0.0000, 0.1292], [0.5000, 0.0000, 0.3918], [0.5000, 0.0000, 0.6082], [0.5000, 0.0000, 0.8708], [0.5000, 0.5000, 0.0000], [0.5000, 0.5000, 0.2383], [0.5000, 0.5000, 0.5000], [0.5000, 0.5000, 0.7617]],
  "vol_a3_per_atom": 32.32
}

---

[2]
{
  "formula": "Ba2TmTl7",
  "functional": "PBE",
  "state": "relaxed",
  "lattice_angstrom": [[5.0035, 0.0000, 0.0000], [0.0000, 5.0035, 0.0000], [0.0000, 0.0000, 13.6858]],
  "species": ["Ba", "Ba", "Tm", "Tl", "Tl", "Tl", "Tl", "Tl", "Tl", "Tl"],
  "fractional_positions": [[0.0000, 0.5000, 0.2472], [0.5000, 0.0000, 0.7528], [0.0000, 0.0000, 0.5000], [0.0000, 0.0000, 0.0000], [0.0000, 0.5000, 0.6380], [0.0000, 0.5000, 0.8591], [0.5000, 0.0000, 0.1409], [0.5000, 0.0000, 0.3620], [0.5000, 0.5000, 0.0000], [0.5000, 0.5000, 0.5000]],
  "vol_a3_per_atom": 34.26
}

---

[3]
{
  "formula": "BaTmTl",
  "functional": "PBE",
  "state": "relaxed",
  "lattice_angstrom": [[-1.9973, 1.9973, 6.9237], [1.9973, -1.9973, 6.9237], [1.9973, 1.9973, -6.9237]],
  "species": ["Ba", "Tm", "Tl"],
  "fractional_positions": [[0.0000, 0.0000, 0.0000], [0.2813, 0.2813, 0.0000], [0.6810, 0.6810, 0.0000]],
  "e_above_lowest_polymorph_ev_per_fu": 0.48,
  "vol_a3_per_atom": 36.83
}

---

no.,total magnetic moment (μB per cell),energy of formation from the pure elements (eV per atom)
1,0.00,-0.229
2,0.00,-0.220
3,0.00,-0.123